(a)
Computed, not measured: a relaxed structure of TlAgF4 at the GGA-PBE level of DFT.

Summary:
The crystal system is monoclinic.

Cell and atoms, written as CIF:
```
data_TlAgF4
_chemical_formula_sum 'Tl2 Ag2 F8'
_cell_length_a 5.724
_cell_length_b 5.352
_cell_length_c 5.349
_cell_angle_alpha 90.00
_cell_angle_beta 90.30
_cell_angle_gamma 90.00
_symmetry_space_group_name_H-M 'P 1 21/c 1'
_symmetry_Int_Tables_number 14
loop_
_symmetry_equiv_pos_as_xyz
'x,y,z'
'-x,-y,-z'
'-x,y+1/2,-z+1/2'
'x,-y+1/2,z+1/2'
loop_
_atom_site_label
_atom_site_type_symbol
_atom_site_fract_x
_atom_site_fract_y
_atom_site_fract_z
Tl1 Tl 0.000 0.000 0.000
Ag1 Ag 0.500 0.000 0.500
F1 F 0.224 0.237 0.738
F2 F 0.225 0.738 0.757
```


(b)
Computed, not measured: a relaxed structure of TlAgF4 at the GGA-PBE level of DFT.

Summary:
The crystal system is monoclinic.

Cell and atoms, written as CIF:
```
data_TlAgF4
_chemical_formula_sum 'Tl2 Ag2 F8'
_cell_length_a 5.665
_cell_length_b 5.300
_cell_length_c 5.847
_cell_angle_alpha 90.00
_cell_angle_beta 105.93
_cell_angle_gamma 90.00
_symmetry_space_group_name_H-M 'P 1 21/c 1'
_symmetry_Int_Tables_number 14
loop_
_symmetry_equiv_pos_as_xyz
'x,y,z'
'-x,-y,-z'
'-x,y+1/2,-z+1/2'
'x,-y+1/2,z+1/2'
loop_
_atom_site_label
_atom_site_type_symbol
_atom_site_fract_x
_atom_site_fract_y
_atom_site_fract_z
Tl1 Tl 0.000 0.000 0.000
Ag1 Ag 0.500 0.000 0.500
F1 F 0.178 0.197 0.749
F2 F 0.299 0.730 0.679
```


The data favor (a); the next most stable structure lies 3.4 kJ/mol of atoms above it.


(a)
Computed, not measured: a relaxed structure of GaFeAgHg at the GGA-PBE level of DFT.

Summary:
The value obtained for the total magnetization is 11.1 μB per cell. The crystal system is cubic.

Cell and atoms, written as CIF:
```
data_GaFeAgHg
_chemical_formula_sum 'Ga4 Fe4 Ag4 Hg4'
_cell_length_a 6.527
_cell_length_b 6.527
_cell_length_c 6.527
_cell_angle_alpha 90.00
_cell_angle_beta 90.00
_cell_angle_gamma 90.00
_symmetry_space_group_name_H-M 'F -4 3 m'
_symmetry_Int_Tables_number 216
_symmetry_space_group_name_Hall 'F -4 2 3'
loop_
_atom_site_label
_atom_site_type_symbol
_atom_site_fract_x
_atom_site_fract_y
_atom_site_fract_z
Ga1 Ga 0.000 0.000 0.000
Fe1 Fe 0.250 0.250 0.250
Ag1 Ag 0.000 0.000 0.500
Hg1 Hg 0.250 0.250 0.750
```


(b)
Computed, not measured: a relaxed structure of GaFeAgHg at the GGA-PBE level of DFT.

Summary:
The value obtained for the total magnetization is 10.1 μB per cell. The crystal system is cubic.

Cell and atoms, written as CIF:
```
data_GaFeAgHg
_chemical_formula_sum 'Ga4 Fe4 Ag4 Hg4'
_cell_length_a 6.502
_cell_length_b 6.502
_cell_length_c 6.502
_cell_angle_alpha 90.00
_cell_angle_beta 90.00
_cell_angle_gamma 90.00
_symmetry_space_group_name_H-M 'F -4 3 m'
_symmetry_Int_Tables_number 216
_symmetry_space_group_name_Hall 'F -4 2 3'
loop_
_atom_site_label
_atom_site_type_symbol
_atom_site_fract_x
_atom_site_fract_y
_atom_site_fract_z
Ga1 Ga 0.000 0.000 0.000
Fe1 Fe 0.250 0.250 0.250
Ag1 Ag 0.250 0.250 0.750
Hg1 Hg 0.000 0.000 0.500
```


The data favor (b); the next most stable structure lies 5.6 kJ/mol of atoms above it.


(a)
Computed, not measured: a relaxed structure of GaFeNiAg at the GGA-PBE level of DFT.

Summary:
The value obtained for the total magnetization is 10.6 μB per cell. The crystal system is cubic.

Cell and atoms, written as CIF:
```
data_GaFeNiAg
_chemical_formula_sum 'Ga4 Fe4 Ni4 Ag4'
_cell_length_a 6.027
_cell_length_b 6.027
_cell_length_c 6.027
_cell_angle_alpha 90.00
_cell_angle_beta 90.00
_cell_angle_gamma 90.00
_symmetry_space_group_name_H-M 'F -4 3 m'
_symmetry_Int_Tables_number 216
_symmetry_space_group_name_Hall 'F -4 2 3'
loop_
_atom_site_label
_atom_site_type_symbol
_atom_site_fract_x
_atom_site_fract_y
_atom_site_fract_z
Ga1 Ga 0.000 0.000 0.000
Fe1 Fe 0.250 0.250 0.250
Ni1 Ni 0.250 0.250 0.750
Ag1 Ag 0.000 0.000 0.500
```


(b)
Computed, not measured: a relaxed structure of GaFeNiAg at the GGA-PBE level of DFT.

Summary:
The value obtained for the total magnetization is 12.2 μB per cell. The crystal system is cubic.

Cell and atoms, written as CIF:
```
data_GaFeNiAg
_chemical_formula_sum 'Ga4 Fe4 Ni4 Ag4'
_cell_length_a 6.039
_cell_length_b 6.039
_cell_length_c 6.039
_cell_angle_alpha 90.00
_cell_angle_beta 90.00
_cell_angle_gamma 90.00
_symmetry_space_group_name_H-M 'F -4 3 m'
_symmetry_Int_Tables_number 216
_symmetry_space_group_name_Hall 'F -4 2 3'
loop_
_atom_site_label
_atom_site_type_symbol
_atom_site_fract_x
_atom_site_fract_y
_atom_site_fract_z
Ga1 Ga 0.000 0.000 0.000
Fe1 Fe 0.250 0.250 0.250
Ni1 Ni 0.000 0.000 0.500
Ag1 Ag 0.250 0.250 0.750
```


The data favor (b); the next most stable structure lies 0.5 kJ/mol of atoms above it.


(a)
Computed, not measured: a relaxed structure of ScGaFeAg at the GGA-PBE level of DFT.

Summary:
The value obtained for the total magnetization is 9.8 μB per cell. The crystal system is cubic.

Cell and atoms, written as CIF:
```
data_ScGaFeAg
_chemical_formula_sum 'Sc4 Ga4 Fe4 Ag4'
_cell_length_a 6.440
_cell_length_b 6.440
_cell_length_c 6.440
_cell_angle_alpha 90.00
_cell_angle_beta 90.00
_cell_angle_gamma 90.00
_symmetry_space_group_name_H-M 'F -4 3 m'
_symmetry_Int_Tables_number 216
_symmetry_space_group_name_Hall 'F -4 2 3'
loop_
_atom_site_label
_atom_site_type_symbol
_atom_site_fract_x
_atom_site_fract_y
_atom_site_fract_z
Sc1 Sc 0.000 0.000 0.000
Ga1 Ga 0.250 0.250 0.250
Fe1 Fe 0.000 0.000 0.500
Ag1 Ag 0.250 0.250 0.750
```


(b)
Computed, not measured: a relaxed structure of ScGaFeAg at the GGA-PBE level of DFT.

Summary:
The value obtained for the total magnetization is 5.6 μB per cell. The crystal system is cubic.

Cell and atoms, written as CIF:
```
data_ScGaFeAg
_chemical_formula_sum 'Sc4 Ga4 Fe4 Ag4'
_cell_length_a 6.371
_cell_length_b 6.371
_cell_length_c 6.371
_cell_angle_alpha 90.00
_cell_angle_beta 90.00
_cell_angle_gamma 90.00
_symmetry_space_group_name_H-M 'F -4 3 m'
_symmetry_Int_Tables_number 216
_symmetry_space_group_name_Hall 'F -4 2 3'
loop_
_atom_site_label
_atom_site_type_symbol
_atom_site_fract_x
_atom_site_fract_y
_atom_site_fract_z
Sc1 Sc 0.000 0.000 0.000
Ga1 Ga 0.000 0.000 0.500
Fe1 Fe 0.250 0.250 0.250
Ag1 Ag 0.250 0.250 0.750
```


The data favor (a); the next most stable structure lies 1.2 kJ/mol of atoms above it.